1.
# Zr2AgRh (PBE-GGA, optimized geometry)
# Spin magnetization   0.000 μB per formula unit
# Total energy   -28.6 eV/cell
data_Zr2AgRh
_chemical_formula_sum 'Zr2 Ag1 Rh1'
_space_group_name_H-M_alt 'P 1'
_space_group_IT_number 1
_space_group_name_Hall 'P 1'
_cell_length_a 4.785
_cell_length_b 4.785
_cell_length_c 3.339
_cell_angle_alpha 90.00
_cell_angle_beta 90.00
_cell_angle_gamma 90.42
loop_
_atom_site_label
_atom_site_fract_x
_atom_site_fract_y
_atom_site_fract_z
Zr1 0.000 0.500 0.000
Zr2 0.500 0.000 0.000
Ag1 0.000 0.000 0.500
Rh1 0.500 0.500 0.500

=====

2.
# PbC3Cl (PBE-GGA, optimized geometry)
# Spin magnetization   0.003 μB per formula unit
# Excess energy over the best structure of this formula in the dataset   0 meV per atom
data_PbC3Cl
_chemical_formula_sum 'Pb1 C3 Cl1'
_space_group_name_H-M_alt 'P 1'
_space_group_IT_number 1
_space_group_name_Hall 'P 1'
_cell_length_a 4.118
_cell_length_b 4.118
_cell_length_c 4.118
_cell_angle_alpha 90.00
_cell_angle_beta 90.00
_cell_angle_gamma 90.00
loop_
_atom_site_label
_atom_site_fract_x
_atom_site_fract_y
_atom_site_fract_z
Pb1 0.000 0.000 0.000
C1 0.000 0.500 0.500
C2 0.500 0.000 0.500
C3 0.500 0.500 0.000
Cl1 0.500 0.500 0.500

=====

3.
# SnSb2CI (PBE-GGA, optimized geometry)
# Spin magnetization   0.000 μB per formula unit
# Excess energy over the best structure of this formula in the dataset   329 meV per atom
data_SnSb2CI
_chemical_formula_sum 'Sn1 Sb2 C1 I1'
_space_group_name_H-M_alt 'P 1'
_space_group_IT_number 1
_space_group_name_Hall 'P 1'
_cell_length_a 5.935
_cell_length_b 5.935
_cell_length_c 4.141
_cell_angle_alpha 90.00
_cell_angle_beta 90.00
_cell_angle_gamma 90.00
loop_
_atom_site_label
_atom_site_fract_x
_atom_site_fract_y
_atom_site_fract_z
Sn1 0.000 0.000 0.000
Sb1 0.000 0.500 0.000
Sb2 0.500 0.000 0.000
C1 0.000 0.000 0.500
I1 0.500 0.500 0.500